# 1
HIr2I | PBE-GGA | optimized geometry

Cell and atoms, written as POSCAR:
```
HIr2I
1.0
5.001 0.000 0.000
0.000 5.001 0.000
0.000 0.000 10.150
H Ir I
4 8 4
direct
0.000 0.000 0.000 H
0.000 0.500 0.250 H
0.500 0.000 0.750 H
0.500 0.500 0.500 H
0.116 0.250 0.125 Ir
0.250 0.616 0.375 Ir
0.250 0.884 0.875 Ir
0.384 0.250 0.625 Ir
0.616 0.750 0.625 Ir
0.750 0.116 0.875 Ir
0.750 0.384 0.375 Ir
0.884 0.750 0.125 Ir
0.000 0.000 0.500 I
0.000 0.500 0.750 I
0.500 0.000 0.250 I
0.500 0.500 0.000 I
```

Properties
Symmetry ... I-42d
Offset from the most stable computed form ... 0.000 eV per atom
Calculated volume ... 63 Å³/f.u.
N(E_F) ... 0.69 states/eV/atom

# 2
VCdCl3 | PBE-GGA | optimized geometry

Cell and atoms, written as POSCAR:
```
VCdCl3
1.0
4.899 0.000 0.000
0.000 4.899 0.000
0.000 0.000 4.899
V Cd Cl
1 1 3
direct
0.000 0.000 0.000 V
0.500 0.500 0.500 Cd
0.000 0.000 0.500 Cl
0.000 0.500 0.000 Cl
0.500 0.000 0.000 Cl
```

Properties
Symmetry ... Pm-3m
Offset from the most stable computed form ... 0.000 eV per atom
Formation energy (no corrections) ... -0.72 eV/atom
Calculated volume ... 118 Å³/f.u.
N(E_F) ... 0.69 states/eV/atom

# 3
ZnNi8Ge2 | PBE-GGA | optimized geometry

Cell and atoms, written as POSCAR:
```
ZnNi8Ge2
1.0
-1.874 3.211 5.460
1.874 -3.211 5.460
1.874 3.211 -5.460
Zn Ni Ge
1 8 2
direct
0.000 0.000 0.000 Zn
0.111 0.839 0.272 Ni
0.152 0.652 0.500 Ni
0.292 0.500 0.792 Ni
0.433 0.161 0.272 Ni
0.567 0.839 0.728 Ni
0.708 0.500 0.208 Ni
0.848 0.348 0.500 Ni
0.889 0.161 0.728 Ni
0.316 0.316 0.000 Ge
0.684 0.684 0.000 Ge
```

Properties
Symmetry ... Immm
Offset from the most stable computed form ... 0.000 eV per atom
Calculated volume ... 131 Å³/f.u.
N(E_F) ... 0.70 states/eV/atom

# 4
CrCdTeI2 | PBE-GGA | optimized geometry

Cell and atoms, written as POSCAR:
```
CrCdTeI2
1.0
5.627 0.000 0.000
0.000 5.627 0.000
0.000 0.000 5.265
Cr Cd Te I
1 1 1 2
direct
0.000 0.000 0.000 Cr
0.500 0.500 0.500 Cd
0.000 0.000 0.500 Te
0.000 0.500 0.000 I
0.500 0.000 0.000 I
```

Properties
Symmetry ... P4/mmm
Offset from the most stable computed form ... 0.000 eV per atom
Formation energy (no corrections) ... 0.10 eV/atom
Calculated volume ... 167 Å³/f.u.
N(E_F) ... 0.77 states/eV/atom

What is the calculated volume in the fourth record?
167 Å³/f.u.

What is the formula in the third record?
ZnNi8Ge2